(1)
LiLuAlTc: optimized geometry, PBE-GGA.

```
data_LiLuAlTc
_chemical_formula_sum 'Li4 Lu4 Al4 Tc4'
_space_group_name_H-M_alt 'F -4 3 m'
_space_group_IT_number 216
_space_group_name_Hall 'F -4 2 3'
_cell_length_a 6.479
_cell_length_b 6.479
_cell_length_c 6.479
_cell_angle_alpha 90.00
_cell_angle_beta 90.00
_cell_angle_gamma 90.00
loop_
_atom_site_label
_atom_site_type_symbol
_atom_site_fract_x
_atom_site_fract_y
_atom_site_fract_z
_atom_site_occupancy
Li1 Li 0.000 0.000 0.000 1
Lu1 Lu 0.250 0.250 0.250 1
Al1 Al 0.250 0.250 0.750 1
Tc1 Tc 0.000 0.000 0.500 1
```

## Properties
- Total moment: 0.0 μB/f.u.
- D(E_F): 6.8 states/eV per cell
- Mass density: 7.5 Mg/m³
- Formation energy from the elements: -0.1327 eV per atom
- Raw total energy: -5.269 eV/atom

---

(2)
LiLuTiAl: optimized geometry, PBE-GGA.

```
data_LiLuTiAl
_chemical_formula_sum 'Li4 Lu4 Ti4 Al4'
_space_group_name_H-M_alt 'F -4 3 m'
_space_group_IT_number 216
_space_group_name_Hall 'F -4 2 3'
_cell_length_a 6.740
_cell_length_b 6.740
_cell_length_c 6.740
_cell_angle_alpha 90.00
_cell_angle_beta 90.00
_cell_angle_gamma 90.00
loop_
_atom_site_label
_atom_site_type_symbol
_atom_site_fract_x
_atom_site_fract_y
_atom_site_fract_z
_atom_site_occupancy
Li1 Li 0.000 0.000 0.000 1
Lu1 Lu 0.250 0.250 0.750 1
Ti1 Ti 0.250 0.250 0.250 1
Al1 Al 0.000 0.000 0.500 1
```

## Properties
- Total moment: 0.0 μB/f.u.
- D(E_F): 11.7 states/eV per cell
- Mass density: 5.6 Mg/m³
- Formation energy from the elements: -0.0471 eV per atom
- Raw total energy: -4.565 eV/atom

---

(3)
LiLuAlTl: optimized geometry, PBE-GGA.

```
data_LiLuAlTl
_chemical_formula_sum 'Li4 Lu4 Al4 Tl4'
_space_group_name_H-M_alt 'F -4 3 m'
_space_group_IT_number 216
_space_group_name_Hall 'F -4 2 3'
_cell_length_a 7.046
_cell_length_b 7.046
_cell_length_c 7.046
_cell_angle_alpha 90.00
_cell_angle_beta 90.00
_cell_angle_gamma 90.00
loop_
_atom_site_label
_atom_site_type_symbol
_atom_site_fract_x
_atom_site_fract_y
_atom_site_fract_z
_atom_site_occupancy
Li1 Li 0.000 0.000 0.000 1
Lu1 Lu 0.000 0.000 0.500 1
Al1 Al 0.250 0.250 0.750 1
Tl1 Tl 0.250 0.250 0.250 1
```

## Properties
- Total moment: 0.0 μB/f.u.
- D(E_F): 4.7 states/eV per cell
- Mass density: 7.8 Mg/m³
- Formation energy from the elements: -0.2119 eV per atom
- Raw total energy: -3.348 eV/atom

---

(4)
LiLuZrAl: optimized geometry, PBE-GGA.

```
data_LiLuZrAl
_chemical_formula_sum 'Li4 Lu4 Zr4 Al4'
_space_group_name_H-M_alt 'F -4 3 m'
_space_group_IT_number 216
_space_group_name_Hall 'F -4 2 3'
_cell_length_a 6.913
_cell_length_b 6.913
_cell_length_c 6.913
_cell_angle_alpha 90.00
_cell_angle_beta 90.00
_cell_angle_gamma 90.00
loop_
_atom_site_label
_atom_site_type_symbol
_atom_site_fract_x
_atom_site_fract_y
_atom_site_fract_z
_atom_site_occupancy
Li1 Li 0.000 0.000 0.000 1
Lu1 Lu 0.250 0.250 0.750 1
Zr1 Zr 0.250 0.250 0.250 1
Al1 Al 0.000 0.000 0.500 1
```

## Properties
- Total moment: 0.0 μB/f.u.
- D(E_F): 8.2 states/eV per cell
- Mass density: 6.0 Mg/m³
- Formation energy from the elements: -0.1461 eV per atom
- Raw total energy: -4.828 eV/atom

---

(5)
Li8MgAl2: optimized geometry, PBE-GGA.

```
data_Li8MgAl2
_chemical_formula_sum 'Li16 Mg2 Al4'
_space_group_name_H-M_alt 'C 1 2/m 1'
_space_group_IT_number 12
_cell_length_a 8.333
_cell_length_b 11.098
_cell_length_c 4.672
_cell_angle_alpha 90.00
_cell_angle_beta 90.20
_cell_angle_gamma 90.00
loop_
_space_group_symop_operation_xyz
'x,y,z'
'-x,-y,-z'
'-x,y,-z'
'x,-y,z'
'x+1/2,y+1/2,z'
'-x+1/2,-y+1/2,-z'
'-x+1/2,y+1/2,-z'
'x+1/2,-y+1/2,z'
loop_
_atom_site_label
_atom_site_type_symbol
_atom_site_fract_x
_atom_site_fract_y
_atom_site_fract_z
_atom_site_occupancy
Li1 Li 0.000 0.238 0.000 1
Li2 Li 0.154 0.000 0.001 1
Li3 Li 0.170 0.362 0.501 1
Mg1 Mg 0.000 0.500 0.000 1
Al1 Al 0.000 0.115 0.500 1
```

## Properties
- Total moment: 0.0 μB/f.u.
- D(E_F): 7.4 states/eV per cell
- Mass density: 1.0 Mg/m³
- Formation energy from the elements: -0.0069 eV per atom
- Raw total energy: -2.224 eV/atom

---

(6)
LiMgAl: optimized geometry, PBE-GGA.

```
data_LiMgAl
_chemical_formula_sum 'Li4 Mg4 Al4'
_space_group_name_H-M_alt 'C 1 2/m 1'
_space_group_IT_number 12
_cell_length_a 9.207
_cell_length_b 3.030
_cell_length_c 9.412
_cell_angle_alpha 90.00
_cell_angle_beta 115.05
_cell_angle_gamma 90.00
loop_
_space_group_symop_operation_xyz
'x,y,z'
'-x,-y,-z'
'-x,y,-z'
'x,-y,z'
'x+1/2,y+1/2,z'
'-x+1/2,-y+1/2,-z'
'-x+1/2,y+1/2,-z'
'x+1/2,-y+1/2,z'
loop_
_atom_site_label
_atom_site_type_symbol
_atom_site_fract_x
_atom_site_fract_y
_atom_site_fract_z
_atom_site_occupancy
Li1 Li 0.016 0.000 0.219 1
Mg1 Mg 0.176 0.000 0.595 1
Al1 Al 0.171 0.500 0.066 1
```

## Properties
- Total moment: 0.0 μB/f.u.
- D(E_F): 4.2 states/eV per cell
- Mass density: 1.6 Mg/m³
- Formation energy from the elements: 0.0065 eV per atom
- Raw total energy: -2.410 eV/atom

---

(7)
LiMg6Al: optimized geometry, PBE-GGA.

```
data_LiMg6Al
_chemical_formula_sum 'Li2 Mg12 Al2'
_space_group_name_H-M_alt 'A m m 2'
_space_group_IT_number 38
_cell_length_a 5.082
_cell_length_b 6.436
_cell_length_c 10.467
_cell_angle_alpha 90.00
_cell_angle_beta 90.00
_cell_angle_gamma 90.00
loop_
_space_group_symop_operation_xyz
'x,y,z'
'-x,-y,z'
'-x,y,z'
'x,-y,z'
'x,y+1/2,z+1/2'
'-x,-y+1/2,z+1/2'
'-x,y+1/2,z+1/2'
'x,-y+1/2,z+1/2'
loop_
_atom_site_label
_atom_site_type_symbol
_atom_site_fract_x
_atom_site_fract_y
_atom_site_fract_z
_atom_site_occupancy
Li1 Li 0.000 0.000 0.000 1
Mg1 Mg 0.000 0.000 0.500 1
Mg2 Mg 0.000 0.242 0.754 1
Mg3 Mg 0.500 0.000 0.323 1
Mg4 Mg 0.500 0.247 0.071 1
Al1 Al 0.500 0.000 0.823 1
```

## Properties
- Total moment: 0.0 μB/f.u.
- D(E_F): 5.5 states/eV per cell
- Mass density: 1.7 Mg/m³
- Formation energy from the elements: -0.0130 eV per atom
- Raw total energy: -1.916 eV/atom

---

(8)
Li3MgAl: optimized geometry, PBE-GGA.

```
data_Li3MgAl
_chemical_formula_sum 'Li12 Mg4 Al4'
_space_group_name_H-M_alt 'C 1 2/m 1'
_space_group_IT_number 12
_cell_length_a 19.995
_cell_length_b 4.496
_cell_length_c 4.444
_cell_angle_alpha 90.00
_cell_angle_beta 102.81
_cell_angle_gamma 90.00
loop_
_space_group_symop_operation_xyz
'x,y,z'
'-x,-y,-z'
'-x,y,-z'
'x,-y,z'
'x+1/2,y+1/2,z'
'-x+1/2,-y+1/2,-z'
'-x+1/2,y+1/2,-z'
'x+1/2,-y+1/2,z'
loop_
_atom_site_label
_atom_site_type_symbol
_atom_site_fract_x
_atom_site_fract_y
_atom_site_fract_z
_atom_site_occupancy
Li1 Li 0.027 0.000 0.277 1
Li2 Li 0.201 0.000 0.451 1
Li3 Li 0.212 0.500 0.962 1
Mg1 Mg 0.113 0.500 0.364 1
Al1 Al 0.119 0.000 0.869 1
```

## Properties
- Total moment: 0.0 μB/f.u.
- D(E_F): 8.0 states/eV per cell
- Mass density: 1.2 Mg/m³
- Formation energy from the elements: 0.0507 eV per atom
- Raw total energy: -2.165 eV/atom

---

(9)
Li2Mg3Al3: optimized geometry, PBE-GGA.

```
data_Li2Mg3Al3
_chemical_formula_sum 'Li2 Mg3 Al3'
_space_group_name_H-M_alt 'P m m m'
_space_group_IT_number 47
_cell_length_a 4.193
_cell_length_b 4.387
_cell_length_c 8.157
_cell_angle_alpha 90.00
_cell_angle_beta 90.00
_cell_angle_gamma 90.00
loop_
_space_group_symop_operation_xyz
'x,y,z'
'-x,-y,-z'
'-x,-y,z'
'x,y,-z'
'x,-y,-z'
'-x,y,z'
'-x,y,-z'
'x,-y,z'
loop_
_atom_site_label
_atom_site_type_symbol
_atom_site_fract_x
_atom_site_fract_y
_atom_site_fract_z
_atom_site_occupancy
Li1 Li 0.000 0.000 0.242 1
Mg1 Mg 0.000 0.500 0.500 1
Mg2 Mg 0.500 0.000 0.000 1
Mg3 Mg 0.500 0.000 0.500 1
Al1 Al 0.000 0.500 0.000 1
Al2 Al 0.500 0.500 0.239 1
```

## Properties
- Total moment: 0.0 μB/f.u.
- D(E_F): 3.0 states/eV per cell
- Mass density: 1.9 Mg/m³
- Formation energy from the elements: -0.0551 eV per atom
- Raw total energy: -2.535 eV/atom

---

(10)
LiMg14Al: optimized geometry, PBE-GGA.

```
data_LiMg14Al
_chemical_formula_sum 'Li2 Mg28 Al2'
_space_group_name_H-M_alt 'A m m 2'
_space_group_IT_number 38
_cell_length_a 10.299
_cell_length_b 6.311
_cell_length_c 10.916
_cell_angle_alpha 90.00
_cell_angle_beta 90.00
_cell_angle_gamma 90.00
loop_
_space_group_symop_operation_xyz
'x,y,z'
'-x,-y,z'
'-x,y,z'
'x,-y,z'
'x,y+1/2,z+1/2'
'-x,-y+1/2,z+1/2'
'-x,y+1/2,z+1/2'
'x,-y+1/2,z+1/2'
loop_
_atom_site_label
_atom_site_type_symbol
_atom_site_fract_x
_atom_site_fract_y
_atom_site_fract_z
_atom_site_occupancy
Li1 Li 0.000 0.000 0.000 1
Mg1 Mg 0.000 0.248 0.753 1
Mg2 Mg 0.243 0.250 0.082 1
Mg3 Mg 0.245 0.000 0.335 1
Mg4 Mg 0.251 0.000 0.834 1
Mg5 Mg 0.500 0.000 0.001 1
Mg6 Mg 0.500 0.000 0.501 1
Mg7 Mg 0.500 0.249 0.250 1
Al1 Al 0.000 0.000 0.501 1
```

## Properties
- Total moment: 0.0 μB/f.u.
- D(E_F): 14.4 states/eV per cell
- Mass density: 1.8 Mg/m³
- Formation energy from the elements: -0.0047 eV per atom
- Raw total energy: -1.753 eV/atom